# 1
Entry from Alexandria: a relaxed structure of CaLaCu (PBE).

Summary:
D(E_F)   4.71 states/eV/f.u.
Offset from the most stable computed form   0.755 eV/atom
Magnetization   0.00 μB/f.u.
Electronic total energy   -3.0250 eV/atom
Formation energy   0.650 eV/atom

Cell: 5.004 5.004 5.004 Å, 60.00 60.00 60.00°
Positions (direct):
Ca1 0.000 0.000 0.000
La1 0.750 0.750 0.750
Cu1 0.500 0.500 0.500

---

# 2
Entry from Alexandria: a relaxed structure of Ca2LaCu (PBE).

Summary:
D(E_F)   5.98 states/eV/f.u.
Offset from the most stable computed form   0.201 eV/atom
Magnetization   0.00 μB/f.u.
Electronic total energy   -3.0872 eV/atom
Formation energy   0.169 eV/atom

Cell: 7.282 7.282 7.282 Å, 100.45 100.45 129.59°
Positions (direct):
Ca1 0.034 0.625 0.909
Ca2 0.375 0.284 0.409
Ca3 0.716 0.125 0.091
Ca4 0.875 0.966 0.591
La1 0.250 0.750 0.500
La2 0.500 0.500 0.000
Cu1 0.000 0.000 0.000
Cu2 0.750 0.250 0.500

---

What is the magnetization in the first record? 0.00 μB/f.u.